1.
DFT (GGA-PBE) results for a geometry-optimized SrTc2Rh structure.

- energy of formation from the pure elements (meV/atom) = 1036
- volume (Å³ per atom) = 17.72
- E above lowest polymorph (eV/atom) = 0.704
- space group = P4/mmm, No. 123
- crystal system = tetragonal
- DOS(E_F) (states/eV/atom) = 1.5470

a = 5.0097 Å, b = 5.0097 Å, c = 2.8249 Å
α = 90.00°, β = 90.00°, γ = 90.00°
Closest atoms and distances in Å follow each position.
Sites, in units of the cell vectors:
Rh (0.5000, 0.0000, 0.5000)  2 Rh 2.82, 8 Tc 2.88
Sr (0.0000, 0.5000, 0.5000)  2 Sr 2.82, 8 Tc 2.88
Tc (0.0000, 0.0000, 0.0000)  2 Tc 2.82, 4 Rh 2.88, 4 Sr 2.88
Tc (0.5000, 0.5000, 0.0000)  2 Tc 2.82, 4 Rh 2.88, 4 Sr 2.88

=====

2.
DFT (GGA-PBE) results for a geometry-optimized AcDy3Ho6 structure.

- energy of formation from the pure elements (meV/atom) = 324
- volume (Å³ per atom) = 33.43
- space group = R3, No. 146
- crystal system = trigonal
- DOS(E_F) (states/eV/atom) = 2.0693

a = 9.8197 Å, b = 9.8197 Å, c = 6.9403 Å
α = 44.97°, β = 44.97°, γ = 60.00°
Closest atoms and distances in Å follow each position.
Sites, in units of the cell vectors:
Ho (0.5534, 0.2461, 0.3012)  2 Dy 3.32-3.33, 1 Ac 3.40
Ho (0.2461, 0.8993, 0.3012)  2 Dy 3.32-3.33, 1 Ac 3.40
Ho (0.3995, 0.7341, 0.8010)  3 Dy 3.28-3.47
Ho (0.7341, 0.0654, 0.8010)  3 Dy 3.28-3.47
Ho (0.0654, 0.3995, 0.8010)  3 Dy 3.28-3.47
Ho (0.8993, 0.5534, 0.3012)  2 Dy 3.32-3.33, 1 Ac 3.40
Dy (0.6391, 0.6391, 0.0827)  1 Dy 2.87, 1 Ac 3.14
Dy (0.4005, 0.4005, 0.7984)  2 Dy 2.86-2.87
Dy (0.1624, 0.1624, 0.5128)  1 Dy 2.86, 1 Ac 3.15
Ac (0.9003, 0.9003, 0.2992)  2 Dy 3.14-3.15, 3 Ho 3.40

=====

3.
DFT (GGA-PBE) results for a geometry-optimized Na2SbPPd6 structure.

- volume (Å³ per atom) = 21.20
- space group = P-1, No. 2
- raw formation energy (meV per atom) = -344
- crystal system = triclinic
- DOS(E_F) (states/eV/atom) = 0.4891

a = 6.3157 Å, b = 7.1328 Å, c = 7.1906 Å
α = 51.97°, β = 63.98°, γ = 89.98°
Closest atoms and distances in Å follow each position.
Sites, in units of the cell vectors:
Pd (0.2598, 0.7426, 0.9198)  1 P 2.27
Pd (0.2600, 0.1866, 0.4816)  1 P 2.27
Pd (0.1797, 0.2550, 0.0825)  1 P 2.27
Pd (0.7400, 0.8134, 0.5184)  1 P 2.27
Pd (0.8203, 0.7450, 0.9175)  1 P 2.27
Pd (0.7402, 0.2574, 0.0802)  1 P 2.27
Na (0.7288, 0.2720, 0.5415)  9 Pd 3.26-3.37
Na (0.2712, 0.7280, 0.4585)  9 Pd 3.26-3.37
P (0.5000, 0.5000, 0.0000)  6 Pd 2.27
Sb (0.0000, 0.0000, 0.0000)  6 Pd 2.62

=====

4.
DFT (GGA-PBE) results for a geometry-optimized Rb2SeSI6 structure.

- volume (Å³ per atom) = 39.49
- space group = I4/mmm, No. 139
- raw formation energy (meV per atom) = -516
- crystal system = tetragonal
- DOS(E_F) (states/eV/atom) = 0.2904

a = 8.3190 Å, b = 8.3190 Å, c = 8.1957 Å
α = 59.50°, β = 59.50°, γ = 90.00°
Closest atoms and distances in Å follow each position.
Sites, in units of the cell vectors:
I (0.2510, 0.2510, 0.0000)  1 S 2.93, 1 Se 2.95
I (0.7490, 0.2510, 0.0000)  1 S 2.93, 1 Se 2.95
I (0.7450, 0.7450, 0.5100)  1 S 2.80, 1 Se 2.91
I (0.2550, 0.2550, 0.4900)  1 S 2.80, 1 Se 2.91
I (0.2510, 0.7490, 0.0000)  1 S 2.93, 1 Se 2.95
I (0.7490, 0.7490, 0.0000)  1 S 2.93, 1 Se 2.95
Se (0.0000, 0.0000, 0.0000)  6 I 2.91-2.95
Rb (0.2500, 0.7500, 0.5000)  12 I 4.10-4.16
Rb (0.7500, 0.2500, 0.5000)  12 I 4.10-4.16
S (0.5000, 0.5000, 0.0000)  6 I 2.80-2.93

=====

5.
DFT (GGA-PBE) results for a geometry-optimized RbBSe3 structure.

- volume (Å³ per atom) = 21.94
- space group = Pm-3m, No. 221
- raw formation energy (meV per atom) = 290
- crystal system = cubic
- DOS(E_F) (states/eV/atom) = 0.8872

a = 4.7874 Å, b = 4.7874 Å, c = 4.7874 Å
α = 90.00°, β = 90.00°, γ = 90.00°
Closest atoms and distances in Å follow each position.
Sites, in units of the cell vectors:
Rb (0.5000, 0.5000, 0.5000)  12 Se 3.39
Se (0.0000, 0.0000, 0.5000)  2 B 2.39
Se (0.5000, 0.0000, 0.0000)  2 B 2.39
Se (0.0000, 0.5000, 0.0000)  2 B 2.39
B (0.0000, 0.0000, 0.0000)  6 Se 2.39

=====

6.
DFT (GGA-PBE) results for a geometry-optimized Zr2CuPtN structure.

- volume (Å³ per atom) = 15.48
- space group = P4/mmm, No. 123
- raw formation energy (meV per atom) = -872
- crystal system = tetragonal
- DOS(E_F) (states/eV/atom) = 0.4864

a = 4.4818 Å, b = 4.4818 Å, c = 3.8525 Å
α = 90.00°, β = 90.00°, γ = 90.00°
Closest atoms and distances in Å follow each position.
Sites, in units of the cell vectors:
Zr (0.0000, 0.5000, 0.0000)  2 N 2.24
Zr (0.5000, 0.0000, 0.0000)  2 N 2.24
Pt (0.5000, 0.5000, 0.5000)  8 Zr 2.96, 4 Cu 3.17
N (0.0000, 0.0000, 0.0000)  2 Cu 1.93
Cu (0.0000, 0.0000, 0.5000)  2 N 1.93

=====

7.
DFT (GGA-PBE) results for a geometry-optimized Na2NpPaSe5 structure.

- volume (Å³ per atom) = 34.10
- space group = P4/mmm, No. 123
- raw formation energy (meV per atom) = -899
- crystal system = tetragonal
- DOS(E_F) (states/eV/atom) = 1.0015

a = 5.2741 Å, b = 5.2741 Å, c = 11.0347 Å
α = 90.00°, β = 90.00°, γ = 90.00°
Closest atoms and distances in Å follow each position.
Sites, in units of the cell vectors:
Se (0.5000, 0.5000, 0.0000)  2 Na 2.96
Se (0.0000, 0.0000, 0.2487)  1 Np 2.74, 1 Pa 2.77
Se (0.5000, 0.0000, 0.5000)  2 Pa 2.64
Se (0.0000, 0.0000, 0.7513)  1 Np 2.74, 1 Pa 2.77
Se (0.0000, 0.5000, 0.5000)  2 Pa 2.64
Np (0.0000, 0.0000, 0.0000)  2 Se 2.74
Na (0.5000, 0.5000, 0.7317)  1 Se 2.96
Na (0.5000, 0.5000, 0.2683)  1 Se 2.96
Pa (0.0000, 0.0000, 0.5000)  6 Se 2.64-2.77

=====

8.
DFT (GGA-PBE) results for a geometry-optimized Rb3C structure.

- energy of formation from the pure elements (meV/atom) = 1149
- volume (Å³ per atom) = 51.50
- E above lowest polymorph (eV/atom) = 0.070
- space group = Immm, No. 71
- crystal system = orthorhombic
- DOS(E_F) (states/eV/atom) = 0.5505

a = 9.4109 Å, b = 9.4109 Å, c = 9.4109 Å
α = 154.61°, β = 144.71°, γ = 43.98°
Closest atoms and distances in Å follow each position.
Sites, in units of the cell vectors:
Rb (0.3598, 0.3598, 0.0000)  2 C 3.20
Rb (0.6402, 0.6402, 0.0000)  2 C 3.20
Rb (0.0000, 0.5000, 0.5000)  4 C 3.52, 4 Rb 3.76
C (0.5000, 0.0000, 0.5000)  8 Rb 3.20-3.52

=====

9.
DFT (GGA-PBE) results for a geometry-optimized TlNiTeSe3 structure.

- volume (Å³ per atom) = 28.14
- space group = P2_1/m, No. 11
- raw formation energy (meV per atom) = -138
- crystal system = monoclinic
- DOS(E_F) (states/eV/atom) = 0.6402

a = 4.0218 Å, b = 9.2722 Å, c = 9.1175 Å
α = 96.67°, β = 90.00°, γ = 90.00°
Closest atoms and distances in Å follow each position.
Sites, in units of the cell vectors:
Ni (0.2500, 0.0723, 0.5623)  4 Se 2.33-2.41, 2 Ni 2.60
Ni (0.7500, 0.9277, 0.4377)  4 Se 2.33-2.41, 2 Ni 2.60
Se (0.2500, 0.1345, 0.8261)  1 Ni 2.41
Se (0.2500, 0.5577, 0.8171)  2 Te 2.75
Se (0.7500, 0.4423, 0.1829)  2 Te 2.75
Se (0.7500, 0.1781, 0.5017)  3 Ni 2.33
Se (0.7500, 0.8655, 0.1739)  1 Ni 2.41
Se (0.2500, 0.8219, 0.4983)  3 Ni 2.33
Te (0.7500, 0.3569, 0.8295)  4 Se 2.75-2.88
Te (0.2500, 0.6431, 0.1705)  4 Se 2.75-2.88
Tl (0.7500, 0.8522, 0.8045)  7 Se 3.29-3.43, 1 Ni 3.50
Tl (0.2500, 0.1478, 0.1955)  7 Se 3.29-3.43, 1 Ni 3.50

=====

10.
DFT (GGA-PBE) results for a geometry-optimized Pm4Sm7Tl structure.

- energy of formation from the pure elements (meV/atom) = 137
- volume (Å³ per atom) = 34.84
- space group = C2/m, No. 12
- crystal system = monoclinic
- DOS(E_F) (states/eV/atom) = 1.6001

a = 6.0112 Å, b = 9.6990 Å, c = 8.9102 Å
α = 60.24°, β = 70.29°, γ = 71.95°
Closest atoms and distances in Å follow each position.
Sites, in units of the cell vectors:
Pm (0.6813, 0.6013, 0.0361)  6 Sm 3.25-3.58
Pm (0.5799, 0.3055, 0.5348)  4 Sm 3.34-3.68, 1 Pm 3.37
Pm (0.4201, 0.6945, 0.4652)  4 Sm 3.34-3.68, 1 Pm 3.37
Pm (0.3187, 0.3987, 0.9639)  6 Sm 3.25-3.58
Sm (0.5000, 0.0000, 0.0000)  2 Tl 3.01
Sm (0.2154, 0.1301, 0.4391)  3 Sm 3.30-3.53, 3 Pm 3.66
Sm (0.7846, 0.8699, 0.5609)  3 Sm 3.30-3.53, 3 Pm 3.66
Sm (0.7981, 0.2105, 0.1934)  1 Tl 3.03, 2 Pm 3.25-3.34, 1 Sm 3.30
Sm (0.0736, 0.5860, 0.2669)  3 Sm 3.48-3.80, 1 Tl 3.48, 5 Pm 3.54-3.78
Sm (0.2019, 0.7895, 0.8066)  1 Tl 3.03, 2 Pm 3.25-3.34, 1 Sm 3.30
Sm (0.9264, 0.4140, 0.7331)  3 Sm 3.48-3.80, 1 Tl 3.48, 5 Pm 3.54-3.78
Tl (0.0000, 0.0000, 0.0000)  4 Sm 3.01-3.03